1.
5
Lattice="4.248 0.000 0.000 0.000 4.248 0.000 0.000 0.000 4.248" Properties=species:S:1:pos:R:3 comment="Be3NiAu, optimized geometry, DFT GGA-PBE" density_g_cm3=6.12 crystal_system=cubic volume_a3_per_atom=15.332 space_group="Pm-3m, No. 221" pbc="T T T"
Be 0.000 0.000 2.124
Be 0.000 2.124 0.000
Be 2.124 0.000 0.000
Ni 2.124 2.124 2.124
Au 0.000 0.000 0.000

***

2.
5
Lattice="3.958 0.000 0.000 0.000 3.958 0.000 0.000 0.000 3.958" Properties=species:S:1:pos:R:3 comment="Be3NiAu, optimized geometry, DFT GGA-PBE" density_g_cm3=7.57 crystal_system=cubic volume_a3_per_atom=12.401 space_group="Pm-3m, No. 221" pbc="T T T"
Be 0.000 0.000 1.979
Be 0.000 1.979 0.000
Be 1.979 0.000 0.000
Ni 0.000 0.000 0.000
Au 1.979 1.979 1.979

***

The least stable of them is 1.